(1)
## LiCaAlTl (PBE-GGA)

Data for a relaxed LiCaAlTl crystal.

Geometry as POSCAR:
```
LiCaAlTl
1.0
-2.928 3.500 -2.269
-3.267 -1.392 -3.654
-5.016 0.094 0.895
Tl Li Ca Al
1 1 1 1
direct
0.750 0.750 0.750
0.000 0.000 0.000
0.500 0.500 0.500
0.250 0.250 0.250
```

Properties
Formation energy = -167 meV per atom
Crystal system = cubic



(2)
## GeSb2Te2 (PBE-GGA)

Data for a relaxed GeSb2Te2 crystal.

Geometry as POSCAR:
```
GeSb2Te2
1.0
-5.442 2.814 -5.419
-4.321 -6.904 0.754
-2.298 1.792 3.238
Sb Ge Te
4 2 4
direct
0.330 0.830 0.000
0.830 0.670 0.000
0.670 0.170 0.000
0.170 0.330 0.000
0.000 0.000 0.000
0.500 0.500 0.000
0.159 0.659 0.500
0.659 0.841 0.500
0.841 0.341 0.500
0.341 0.159 0.500
```

Properties
Crystal system = tetragonal
Uncorrected formation energy = 210 meV/atom



(3)
## InCu3Br (PBE-GGA)

Data for a relaxed InCu3Br crystal.

Geometry as POSCAR:
```
InCu3Br
1.0
-3.188 2.450 2.901
2.579 -1.383 4.002
2.787 4.082 -0.385
Cu Br In
3 1 1
direct
0.000 0.500 0.000
0.000 0.000 0.500
0.500 0.000 0.000
0.500 0.500 0.500
0.000 0.000 0.000
```

Properties
Crystal system = cubic
Uncorrected formation energy = 807 meV/atom



(4)
## LiTaPt6 (PBE-GGA)

Data for a relaxed LiTaPt6 crystal.

Geometry as POSCAR:
```
LiTaPt6
1.0
-2.202 0.821 3.194
-1.716 -3.565 -0.267
5.519 -3.001 4.577
Li Ta Pt
1 1 6
direct
0.000 0.000 0.500
0.000 0.000 0.000
0.500 0.500 0.000
0.500 0.500 0.500
0.500 0.000 0.251
0.500 0.000 0.749
0.000 0.500 0.251
0.000 0.500 0.749
```

Properties
Formation energy = -631 meV per atom
Crystal system = tetragonal



Copy entry 2 word for word.
## GeSb2Te2 (PBE-GGA)

Data for a relaxed GeSb2Te2 crystal.

Geometry as POSCAR:
```
GeSb2Te2
1.0
-5.442 2.814 -5.419
-4.321 -6.904 0.754
-2.298 1.792 3.238
Sb Ge Te
4 2 4
direct
0.330 0.830 0.000
0.830 0.670 0.000
0.670 0.170 0.000
0.170 0.330 0.000
0.000 0.000 0.000
0.500 0.500 0.000
0.159 0.659 0.500
0.659 0.841 0.500
0.841 0.341 0.500
0.341 0.159 0.500
```

Properties
Crystal system = tetragonal
Uncorrected formation energy = 210 meV/atom